The following is a DFT calculation (PBE-GGA) of an optimized crystal structure of PmHoZnIr.

Calculated values
Total magnetic moment, μB per cell: 0.0
Polymorph energy (0 for the lowest one), eV per atom: 0.003
Calculated formation energy, eV/atom: -0.57
Calculated volume, Å³ per atom: 21.91

Cell and atoms, written as POSCAR:
```
PmHoZnIr
1.0
-3.5443 2.4598 -2.4993
-1.4367 -1.5909 -4.5016
-4.5060 -2.0484 -0.5991
Zn Ho Ir Pm
1 1 1 1
Cartesian
-4.7435 -0.5898 -3.8000
-7.1153 -0.8847 -5.7000
0.0000 0.0000 0.0000
-2.3718 -0.2949 -1.9000
```